Record 1
Compound: Sc8TlS4
Source: Alexandria via LeMat-Bulk
Functional: PBE
Structure: relaxed

Calculated values
* crystal system: monoclinic
* energy relative to the elements, uncorrected: -113 kJ per mole of atoms
* space-group type: C2/m

Unit cell a=3.632 b=8.828 c=8.827 alpha=87.61 beta=78.13 gamma=78.13
Element x y z (fractional)
Sc 0.561 0.610 0.268
Sc 0.170 0.302 0.358
Sc 0.470 0.393 0.666
Sc 0.862 0.701 0.575
Sc 0.884 0.965 0.266
Sc 0.147 0.039 0.667
Sc 0.848 0.301 0.004
Sc 0.184 0.702 0.930
S 0.671 0.159 0.499
S 0.203 0.470 0.124
S 0.360 0.845 0.435
S 0.828 0.534 0.810
Tl 0.516 0.002 0.967

---

Record 2
Compound: AcPr5Nd5
Source: Alexandria via LeMat-Bulk
Functional: PBE
Structure: relaxed

Calculated values
* E above lowest polymorph: 0.1017 eV/atom
* ΔE_f: 245 meV/atom
* crystal system: monoclinic
* space-group type: C2/m

Unit cell a=6.331 b=10.224 c=7.169 alpha=110.21 beta=90.00 gamma=108.04
Element x y z (fractional)
Pr 0.500 0.000 0.000
Pr 0.176 0.352 0.421
Pr 0.176 0.352 0.932
Pr 0.824 0.648 0.579
Pr 0.824 0.648 0.068
Nd 0.329 0.658 0.827
Nd 0.375 0.750 0.373
Nd 0.000 0.000 0.500
Nd 0.671 0.342 0.173
Nd 0.625 0.250 0.627
Ac 0.000 0.000 0.000

---

Record 3
Compound: Ca2InP
Source: Alexandria via LeMat-Bulk
Functional: PBE
Structure: relaxed

Calculated values
* E above lowest polymorph: 0.0384 eV/atom
* ΔE_f: -637 meV/atom
* crystal system: monoclinic
* space-group type: C2/m

Unit cell a=4.124 b=4.124 c=8.810 alpha=76.60 beta=76.60 gamma=59.97
Element x y z (fractional)
P 0.750 0.750 0.750
Ca 0.026 0.026 0.924
Ca 0.474 0.474 0.576
In 0.250 0.250 0.250

---

Computed total DFT energy (no corrections), in the same sequence as the records: -6.5239; -4.4683; -3.6746 eV/atom.
Computed calculated volume, in the same sequence as the records: 271.1; 411.1; 125.0 Å³ per cell.